1.
Below is crystalline Tb3Y2Cd2 at its relaxed geometry, with properties calculated at the PBE level.

The structure belongs to space group Cmmm (No. 65); the cell edges are 5.083, 22.851 and 3.478 Å and the angles 90.00°, 90.00° and 90.00°. Symmetry generates all atoms from Tb at (0.000, 0.000, 0.000), Tb at (0.000, 0.146, 0.000), Y at (0.000, 0.290, 0.500) and Cd at (0.000, 0.432, 0.500).

Its energy relative to the lowest polymorph listed for this composition is 0.125 eV per atom. The total DFT energy (no corrections) comes out at -4.1349 eV per atom. The energy of formation is -0.0421 eV per atom.



2.
Below is crystalline Tb3Y2Cd2 at its relaxed geometry, with properties calculated at the PBE level.

The structure belongs to space group R-3m (No. 166, hexagonal axes); the cell edges are 5.3937, 5.3937 and 23.9499 Å and the angles 90.00°, 90.00° and 120.00°. Symmetry generates all atoms from Tb at (0.0000, 0.0000, 0.0000), Tb at (0.0000, 0.0000, 0.1570), Y at (0.0000, 0.0000, 0.4254) and Cd at (0.0000, 0.0000, 0.2885).

Its energy relative to the lowest polymorph listed for this composition is 0.000 eV per atom. The total DFT energy (no corrections) comes out at -4.2600 eV per atom. The energy of formation is -0.1673 eV per atom.



3.
Below is crystalline Tb4Y5Cd at its relaxed geometry, with properties calculated at the PBE level.

The structure belongs to space group P4/mmm (No. 123); the cell edges are 3.578, 3.578 and 24.274 Å and the angles 90.00°, 90.00° and 90.00°. Symmetry generates all atoms from Tb at (0.000, 0.000, 0.104), Tb at (0.000, 0.000, 0.311), Y at (0.500, 0.500, 0.000), Y at (0.500, 0.500, 0.208), Y at (0.500, 0.500, 0.415) and Cd at (0.000, 0.000, 0.500).

The total DFT energy (no corrections) comes out at -5.2258 eV per atom. The energy of formation is -0.0501 eV per atom.